A plane-wave DFT calculation with PBE was carried out for a relaxed structure of ZnIn2Cu.

The space group is C2/m (No. 12) and the conventional cell measures 8.710, 3.164 and 6.044 Å, with angles of 90.00, 103.81 and 90.00 degrees. The asymmetric unit holds Zn at (0.000, 0.000, 0.000), In at (0.244, 0.000, 0.735) and Cu at (0.000, 0.500, 0.500).

The spin magnetization is 0.00 μB/atom. As for the formation energy: 0.140 eV per atom.

=====

A plane-wave DFT calculation with PBE was carried out for a relaxed structure of AlReRu2.

The space group is I4/mmm (No. 139) and the conventional cell measures 4.103, 4.103 and 6.772 Å, with angles of 90.00, 90.00 and 90.00 degrees. The asymmetric unit holds Al at (0.000, 0.000, 0.000), Re at (0.000, 0.000, 0.500) and Ru at (0.000, 0.500, 0.250).

The spin magnetization is 0.00 μB/atom. As for the formation energy: -0.140 eV per atom.

=====

Look up the spin magnetization of the second one. 0.00 μB/atom